Record 1
Density functional theory data (PBE-GGA) for crystalline Hg2POs at its relaxed geometry.

a b c (Å): 5.0100 5.0100 3.2319
angles (deg): 90.00 90.00 115.97
Atoms (fractional coordinates):
Hg1 0.0000 0.5000 0.0000
Os1 0.0000 0.0000 0.5000
Hg2 0.5000 0.0000 0.0000
P1 0.5000 0.5000 0.5000

DOS at the Fermi energy	0.817	states/eV per atom
DFT total energy	-3.365	eV/atom

Record 2
Density functional theory data (PBE-GGA) for crystalline SrScGa at its relaxed geometry.

a b c (Å): 14.3638 6.8133 3.6201
angles (deg): 90.00 90.00 90.00
Atoms (fractional coordinates):
Ga1 0.5000 0.5000 0.5000
Sc1 0.0904 0.7500 0.5000
Sr1 0.3321 0.7500 0.0005
Sr2 0.8321 0.7500 0.4995
Ga2 0.0000 0.5000 0.0000
Sc2 0.4096 0.2500 0.0000
Ga3 0.5000 0.0000 0.5000
Sr3 0.1679 0.2500 0.5005
Sc3 0.5904 0.7500 0.0000
Sr4 0.6679 0.2500 0.9995
Sc4 0.9096 0.2500 0.5000
Ga4 0.0000 0.0000 0.0000

energy above the most stable polymorph in this dataset	181	meV per atom
DOS at the Fermi energy	1.007	states/eV per atom

Record 3
Density functional theory data (PBE-GGA) for crystalline Rb4TlCd3Cl12 at its relaxed geometry.

a b c (Å): 9.2765 9.2765 9.2765
angles (deg): 109.47 109.47 109.47
Atoms (fractional coordinates):
Cl1 0.7417 0.7417 0.0000
Cl2 0.7417 0.0000 0.7417
Cd1 0.0000 0.5000 0.5000
Cl3 0.5000 0.2500 0.7500
Cl4 0.2500 0.5000 0.7500
Cd2 0.5000 0.5000 0.0000
Cl5 0.2583 0.2583 0.0000
Rb1 0.0000 0.0000 0.5000
Rb2 0.5000 0.0000 0.0000
Cl6 0.5000 0.7500 0.2500
Cl7 0.0000 0.2583 0.2583
Cl8 0.0000 0.7417 0.7417
Cl9 0.7500 0.2500 0.5000
Tl1 0.0000 0.0000 0.0000
Cl10 0.2500 0.7500 0.5000
Cl11 0.7500 0.5000 0.2500
Rb3 0.5000 0.5000 0.5000
Cd3 0.5000 0.0000 0.5000
Rb4 0.0000 0.5000 0.0000
Cl12 0.2583 0.0000 0.2583

E_form (uncorrected)	-27.6	eV/f.u.
DOS at the Fermi energy	0.209	states/eV per atom

Record 4
Density functional theory data (PBE-GGA) for crystalline Cu2TcI at its relaxed geometry.

a b c (Å): 4.5067 3.3588 9.0268
angles (deg): 90.00 107.96 90.00
Atoms (fractional coordinates):
Cu1 0.9840 0.0000 0.7040
Cu2 0.1261 0.0000 0.4442
Tc1 0.4753 0.0000 0.2059
Cu3 0.9840 0.5000 0.2040
I1 0.6222 0.0000 0.9439
I2 0.6222 0.5000 0.4439
Tc2 0.4753 0.5000 0.7059
Cu4 0.1261 0.5000 0.9442

energy above the most stable polymorph in this dataset	548	meV per atom
E_form (uncorrected)	3.0	eV/f.u.
DOS at the Fermi energy	0.684	states/eV per atom

Record 5
Density functional theory data (PBE-GGA) for crystalline ReSi2Os at its relaxed geometry.

a b c (Å): 4.3301 2.8958 4.3444
angles (deg): 90.00 90.00 90.00
Atoms (fractional coordinates):
Re1 0.5000 0.8750 0.7373
Si1 0.0000 0.8750 0.0381
Si2 0.5000 0.3750 0.2171
Os1 0.0000 0.3750 0.5075

E_form (uncorrected)	-0.9	eV/f.u.
DOS at the Fermi energy	0.620	states/eV per atom

Record 6
Density functional theory data (PBE-GGA) for crystalline NaH4PdRh at its relaxed geometry.

a b c (Å): 5.7596 5.7905 5.8684
angles (deg): 120.45 90.00 119.82
Atoms (fractional coordinates):
H1 0.7438 0.4876 0.6759
H2 0.6618 0.9262 0.7131
H3 0.3382 0.0738 0.2869
H4 0.2562 0.5124 0.3241
H5 0.7356 0.0738 0.2869
Pd1 0.5000 0.0000 0.5000
Rh1 0.5000 0.5000 0.5000
Rh2 0.0000 0.5000 0.5000
H6 0.2562 0.5124 0.6883
Pd2 0.5000 0.0000 0.0000
Na1 0.8790 0.7580 0.1290
H7 0.7438 0.4876 0.3117
H8 0.2644 0.9262 0.7131
Na2 0.1210 0.2420 0.8710

DOS at the Fermi energy	0.204	states/eV per atom
DFT total energy	-4.095	eV/atom

Record 7
Density functional theory data (PBE-GGA) for crystalline LiAs2Ru at its relaxed geometry.

a b c (Å): 8.0634 8.0634 8.0634
angles (deg): 22.02 22.02 22.02
Atoms (fractional coordinates):
Ru1 0.7500 0.7500 0.7500
As1 0.4941 0.4941 0.4941
As2 0.0059 0.0059 0.0059
Li1 0.2500 0.2500 0.2500

DOS at the Fermi energy	0.402	states/eV per atom
DFT total energy	-5.377	eV/atom

Record 8
Density functional theory data (PBE-GGA) for crystalline TbCoB at its relaxed geometry.

a b c (Å): 3.5429 3.5429 7.5863
angles (deg): 90.00 90.00 90.00
Atoms (fractional coordinates):
B1 0.0000 0.5000 0.3714
Tb1 0.0000 0.5000 0.8004
Tb2 0.5000 0.0000 0.1996
B2 0.5000 0.0000 0.6286
Co1 0.0000 0.0000 0.5000
Co2 0.5000 0.5000 0.5000

energy above the most stable polymorph in this dataset	0	meV per atom
DOS at the Fermi energy	0.617	states/eV per atom

Record 9
Density functional theory data (PBE-GGA) for crystalline YIn2Ag at its relaxed geometry.

a b c (Å): 5.5379 5.5379 5.2993
angles (deg): 75.27 75.27 38.99
Atoms (fractional coordinates):
In1 0.0100 0.0100 0.9918
In2 0.2533 0.2533 0.2376
Y1 0.4914 0.4914 0.5148
Ag1 0.7453 0.7453 0.7557

DOS at the Fermi energy	0.426	states/eV per atom
DFT total energy	-3.920	eV/atom

Record 10
Density functional theory data (PBE-GGA) for crystalline SbWSeBr2 at its relaxed geometry.

a b c (Å): 5.4419 5.4419 5.6064
angles (deg): 90.00 90.00 90.00
Each line ends with the local moment (μB).
Atoms (fractional coordinates):
W1 0.5000 0.5000 0.5000  3.56
Se1 0.0000 0.0000 0.5000  -0.15
Br1 0.0000 0.5000 0.0000  0.04
Sb1 0.0000 0.0000 0.0000  0.03
Br2 0.5000 0.0000 0.0000  0.04

energy above the most stable polymorph in this dataset	665	meV per atom
E_form (uncorrected)	6.0	eV/f.u.
DOS at the Fermi energy	1.115	states/eV per atom

Record 11
Density functional theory data (PBE-GGA) for crystalline KNpCuS4 at its relaxed geometry.

a b c (Å): 6.7113 5.4400 9.0270
angles (deg): 90.00 106.71 90.00
Each line ends with the local moment (μB).
Atoms (fractional coordinates):
S1 0.4226 0.7500 0.5774  -0.15
S2 0.5774 0.2500 0.4226  -0.15
S3 0.4611 0.7500 0.1748  -0.14
K1 0.7465 0.7500 0.9499  0.00
S4 0.9808 0.0204 0.2988  -0.09
S5 0.0192 0.9796 0.7012  -0.09
K2 0.2535 0.2500 0.0501  0.00
Np1 0.7308 0.7500 0.4415  2.91
Cu1 0.2455 0.7500 0.3233  -0.13
S6 0.5389 0.2500 0.8252  -0.14
Np2 0.2692 0.2500 0.5585  2.91
S7 0.9808 0.4796 0.2988  -0.09
Cu2 0.7545 0.2500 0.6767  -0.13
S8 0.0192 0.5204 0.7012  -0.09

E_form (uncorrected)	-6.4	eV/f.u.
DOS at the Fermi energy	1.207	states/eV per atom

Record 12
Density functional theory data (PBE-GGA) for crystalline ScRe2Ir at its relaxed geometry.

a b c (Å): 4.3128 2.7731 5.4386
angles (deg): 76.32 90.00 90.00
Atoms (fractional coordinates):
Ir1 0.5000 0.6957 0.7251
Re1 0.5000 0.2997 0.2341
Re2 0.0000 0.0434 0.0296
Sc1 0.0000 0.4611 0.5112

energy above the most stable polymorph in this dataset	63	meV per atom
DOS at the Fermi energy	0.622	states/eV per atom